[1]
# Cr2InCo

A relaxed Cr2InCo crystal (PBE, the Alexandria database).

Lattice parameters (Å, degrees): 2.7009 2.7009 7.4934 90.00 90.00 90.00
Last column: nearest neighbours and their distance in Å.
Space group P4/mmm (No. 123)
Symmetry-distinct sites (fractional):
Cr 0.0000 0.0000 0.2125 x2  4 Co 2.49, 4 Cr 2.70
In 0.5000 0.5000 0.5000 x1  4 In 2.70, 8 Cr 2.88
Co 0.5000 0.5000 0.0000 x1  8 Cr 2.49, 4 Co 2.70

The calculation puts the formation energy from the elements at 0.44 eV per atom. As for the calculated volume: 55 Å³/cell.

***

[2]
# Cr2InCo

A relaxed Cr2InCo crystal (PBE, the Alexandria database).

Lattice parameters (Å, degrees): 4.0236 4.0236 7.1541 90.00 90.00 90.00
Last column: nearest neighbours and their distance in Å.
Space group I-4m2 (No. 119)
Symmetry-distinct sites (fractional):
Cr 0.0000 0.0000 0.0000 x2  4 Cr 2.69, 4 In 2.69, 4 Co 2.85
Cr 0.0000 0.5000 0.2500 x2  4 Co 2.69, 4 Cr 2.69, 4 In 2.85
In 0.0000 0.5000 0.7500 x2  8 Cr 2.69-2.85, 4 Co 2.69
Co 0.0000 0.0000 0.5000 x2  8 Cr 2.69-2.85, 4 In 2.69

The calculation puts the formation energy from the elements at 0.31 eV per atom. As for the calculated volume: 116 Å³/cell.

***

[3]
# CrIn2Co

A relaxed CrIn2Co crystal (PBE, the Alexandria database).

Lattice parameters (Å, degrees): 7.1665 7.1665 5.6066 90.00 90.00 90.00
Last column: nearest neighbours and their distance in Å.
Space group I-42d (No. 122)
Symmetry-distinct sites (fractional):
Cr 0.0000 0.0000 0.0000 x4  4 In 2.72, 2 Co 2.80
In 0.2321 0.2500 0.6250 x8  2 Co 2.54, 2 Cr 2.72, 2 In 2.82
Co 0.0000 0.0000 0.5000 x4  4 In 2.54, 2 Cr 2.80

The calculation puts the formation energy from the elements at 0.86 eV per atom. Its offset from the most stable computed form is 58.7 kJ/mol of atoms. As for the calculated volume: 288 Å³/cell.

***

[4]
# Cr2InCo

A relaxed Cr2InCo crystal (PBE, the Alexandria database).

Lattice parameters (Å, degrees): 2.8791 2.8791 23.9059 90.00 90.00 120.00
Last column: nearest neighbours and their distance in Å.
Space group R3m (No. 160, hexagonal axes)
Symmetry-distinct sites (fractional):
Cr 0.0000 0.0000 0.0000 x3  3 Cr 2.29
Cr 0.0000 0.0000 0.2671 x3  3 Cr 2.29, 3 Co 2.46
In 0.0000 0.0000 0.7669 x3  3 Co 2.74, 6 In 2.88, 3 Cr 2.92
Co 0.0000 0.0000 0.5246 x3  3 Cr 2.46, 3 In 2.74

The calculation puts the formation energy from the elements at 0.45 eV per atom. As for the calculated volume: 172 Å³/cell.

***

[5]
# Cr2InCo

A relaxed Cr2InCo crystal (PBE, the Alexandria database).

Lattice parameters (Å, degrees): 2.7325 2.7325 25.7416 90.00 90.00 120.00
Last column: nearest neighbours and their distance in Å.
Space group R-3m (No. 166, hexagonal axes)
Symmetry-distinct sites (fractional):
Cr 0.0000 0.0000 0.2410 x6  3 Co 2.48, 6 Cr 2.73
In 0.0000 0.0000 0.0000 x3  6 In 2.73, 6 Cr 2.85
Co 0.0000 0.0000 0.5000 x3  6 Cr 2.48, 6 Co 2.73

The calculation puts the formation energy from the elements at 0.62 eV per atom. As for the calculated volume: 166 Å³/cell.

***

[6]
# CrInCo

A relaxed CrInCo crystal (PBE, the Alexandria database).

Lattice parameters (Å, degrees): 2.9191 2.9191 6.2677 90.00 90.00 120.00
Last column: nearest neighbours and their distance in Å.
Space group P3m1 (No. 156)
Symmetry-distinct sites (fractional):
Cr 0.0000 0.0000 0.0000 x1  3 Co 2.39
In 0.6667 0.3333 0.3768 x1  3 Co 2.78, 3 Cr 2.90, 6 In 2.92
Co 0.3333 0.6667 0.7290 x1  3 Cr 2.39

The calculation puts the formation energy from the elements at 0.50 eV per atom. As for the calculated volume: 46 Å³/cell.

***

Copy entry 6 word for word.
# CrInCo

A relaxed CrInCo crystal (PBE, the Alexandria database).

Lattice parameters (Å, degrees): 2.9191 2.9191 6.2677 90.00 90.00 120.00
Last column: nearest neighbours and their distance in Å.
Space group P3m1 (No. 156)
Symmetry-distinct sites (fractional):
Cr 0.0000 0.0000 0.0000 x1  3 Co 2.39
In 0.6667 0.3333 0.3768 x1  3 Co 2.78, 3 Cr 2.90, 6 In 2.92
Co 0.3333 0.6667 0.7290 x1  3 Cr 2.39

The calculation puts the formation energy from the elements at 0.50 eV per atom. As for the calculated volume: 46 Å³/cell.